# 1
Entry from Alexandria via LeMat-Bulk: a relaxed structure of ScAgMo3 (PBE-GGA).

Structure (extended XYZ):
```
5
Lattice="4.6068 0.0000 0.0000 0.0000 4.6068 0.0000 0.0000 0.0000 4.6068" Properties=species:S:1:pos:R:3 pbc="T T T"
Sc 0.0000 0.0000 0.0000
Mo 0.0000 2.3034 0.0000
Mo 0.0000 0.0000 2.3034
Mo 2.3034 0.0000 0.0000
Ag 2.3034 2.3034 2.3034
```

Calculated values
Crystal system: cubic
ΔE to the lowest computed polymorph in kJ/mol of atoms: 0.0
Formation energy from the elements in kJ/mol of atoms: 188
V in Å³ per cell: 97.8

***

# 2
Entry from Alexandria via LeMat-Bulk: a relaxed structure of Sc2AgMo (PBE-GGA).

Structure (extended XYZ):
```
4
Lattice="-2.3431 1.7779 -1.5779 0.3678 -1.9084 -2.6964 -4.5211 -6.2388 -0.3159" Properties=species:S:1:pos:R:3 pbc="T T T"
Mo -4.2865 -5.2214 -3.0482
Ag -2.2098 -1.1478 -1.5421
Sc -2.1716 -4.1582 -1.4605
Sc -4.4261 -6.1541 -0.3616
```

Calculated values
Crystal system: monoclinic
ΔE to the lowest computed polymorph in kJ/mol of atoms: 0.0
Formation energy from the elements in kJ/mol of atoms: -5
V in Å³ per cell: 77.1

***

V of number 2 (Sc2AgMo)?
77.1 Å³ per cell

***

What is the formula in the first record?
ScAgMo3